Entry 1:
# PBE-GGA Cs2AlBiO, relaxed
data_Cs2AlBiO
_chemical_formula_sum 'Cs2 Al1 Bi1 O1'
_cell_length_a 6.107
_cell_length_b 6.107
_cell_length_c 4.740
_cell_angle_alpha 90.00
_cell_angle_beta 90.00
_cell_angle_gamma 90.00
_space_group_name_H-M_alt 'P 4/m m m'
_space_group_IT_number 123
_space_group_name_Hall '-P 4 2'
loop_
_atom_site_label
_atom_site_type_symbol
_atom_site_fract_x
_atom_site_fract_y
_atom_site_fract_z
Cs1 Cs 0.000 0.500 0.000
Al1 Al 0.000 0.000 0.500
Bi1 Bi 0.500 0.500 0.500
O1 O 0.500 0.500 0.000
# - E_form (uncorrected): -0.194 eV/atom

---

Entry 2:
# PBE-GGA ZnCd2Au9, relaxed
data_ZnCd2Au9
_chemical_formula_sum 'Zn1 Cd2 Au9'
_cell_length_a 4.181
_cell_length_b 4.181
_cell_length_c 12.463
_cell_angle_alpha 90.00
_cell_angle_beta 90.00
_cell_angle_gamma 90.00
_space_group_name_H-M_alt 'P 4/m m m'
_space_group_IT_number 123
_space_group_name_Hall '-P 4 2'
loop_
_atom_site_label
_atom_site_type_symbol
_atom_site_fract_x
_atom_site_fract_y
_atom_site_fract_z
Zn1 Zn 0.000 0.000 0.000
Cd1 Cd 0.000 0.000 0.330
Au1 Au 0.000 0.500 0.158
Au2 Au 0.000 0.500 0.500
Au3 Au 0.500 0.500 0.000
Au4 Au 0.500 0.500 0.328
# - Energy relative to the elements: -0.115 eV/atom

---

Entry 3:
# PBE-GGA MgHgPb, relaxed
data_MgHgPb
_chemical_formula_sum 'Mg2 Hg2 Pb2'
_cell_length_a 3.512
_cell_length_b 6.491
_cell_length_c 7.111
_cell_angle_alpha 84.40
_cell_angle_beta 75.71
_cell_angle_gamma 89.81
_space_group_name_H-M_alt 'P 1'
_space_group_IT_number 1
loop_
_space_group_symop_operation_xyz
'x,y,z'
loop_
_atom_site_label
_atom_site_type_symbol
_atom_site_fract_x
_atom_site_fract_y
_atom_site_fract_z
Mg1 Mg 0.000 0.000 0.000
Mg2 Mg 0.341 0.646 0.321
Hg1 Hg 0.349 0.133 0.301
Hg2 Hg 0.992 0.515 0.019
Pb1 Pb 0.670 0.324 0.661
Pb2 Pb 0.671 0.824 0.660
# - Energy relative to the elements: -0.029 eV/atom

---

Entry 4:
# PBE-GGA KYHf, relaxed
data_KYHf
_chemical_formula_sum 'K2 Y2 Hf2'
_cell_length_a 3.389
_cell_length_b 6.156
_cell_length_c 11.753
_cell_angle_alpha 81.19
_cell_angle_beta 87.61
_cell_angle_gamma 74.33
_space_group_name_H-M_alt 'P 1'
_space_group_IT_number 1
loop_
_space_group_symop_operation_xyz
'x,y,z'
loop_
_atom_site_label
_atom_site_type_symbol
_atom_site_fract_x
_atom_site_fract_y
_atom_site_fract_z
K1 K 0.000 0.000 0.000
K2 K 0.399 0.425 0.242
Y1 Y 0.136 0.877 0.511
Y2 Y 0.751 0.574 0.769
Hf1 Hf 0.479 0.126 0.702
Hf2 Hf 0.867 0.402 0.530
# - Polymorph energy (0 for the lowest one): 0.121 eV per atom
# - Energy relative to the elements: 0.433 eV/atom

---

Entry 5:
# PBE-GGA Rb2PaOsO8, relaxed
data_Rb2PaOsO8
_chemical_formula_sum 'Rb2 Pa1 Os1 O8'
_cell_length_a 5.875
_cell_length_b 5.953
_cell_length_c 6.668
_cell_angle_alpha 89.94
_cell_angle_beta 89.93
_cell_angle_gamma 89.01
_space_group_name_H-M_alt 'P -1'
_space_group_IT_number 2
loop_
_space_group_symop_operation_xyz
'x,y,z'
'-x,-y,-z'
loop_
_atom_site_label
_atom_site_type_symbol
_atom_site_fract_x
_atom_site_fract_y
_atom_site_fract_z
Rb1 Rb 0.000 0.000 0.244
Pa1 Pa 0.500 0.500 0.500
Os1 Os 0.500 0.500 0.000
O1 O 0.273 0.735 0.500
O2 O 0.286 0.721 0.000
O3 O 0.343 0.352 0.215
O4 O 0.343 0.352 0.786
# - E_form (uncorrected): -1.745 eV/atom

---

Entry 6:
# PBE-GGA KAl2Cl, relaxed
data_KAl2Cl
_chemical_formula_sum 'K3 Al6 Cl3'
_cell_length_a 3.4086
_cell_length_b 3.4086
_cell_length_c 29.9335
_cell_angle_alpha 90.00
_cell_angle_beta 90.00
_cell_angle_gamma 120.00
_space_group_name_H-M_alt 'R -3 m'
_space_group_IT_number 166
_space_group_name_Hall '-R 3 2"'
loop_
_atom_site_label
_atom_site_type_symbol
_atom_site_fract_x
_atom_site_fract_y
_atom_site_fract_z
K1 K 0.0000 0.0000 0.0000
Al1 Al 0.0000 0.0000 0.2372
Cl1 Cl 0.0000 0.0000 0.5000
# - E_form (uncorrected): 0.152 eV/atom
# - Polymorph energy (0 for the lowest one): 0.599 eV per atom

---

Entry 7:
# PBE-GGA CaSiP2O8, relaxed
data_CaSiP2O8
_chemical_formula_sum 'Ca1 Si1 P2 O8'
_cell_length_a 4.7290
_cell_length_b 4.7290
_cell_length_c 6.9281
_cell_angle_alpha 90.00
_cell_angle_beta 90.00
_cell_angle_gamma 120.00
_space_group_name_H-M_alt 'P -3'
_space_group_IT_number 147
loop_
_space_group_symop_operation_xyz
'x,y,z'
'-x,-y,-z'
'-y,x-y,z'
'y,-x+y,-z'
'-x+y,-x,z'
'x-y,x,-z'
loop_
_atom_site_label
_atom_site_type_symbol
_atom_site_fract_x
_atom_site_fract_y
_atom_site_fract_z
Ca1 Ca 0.0000 0.0000 0.0000
Si1 Si 0.0000 0.0000 0.5000
P1 P 0.3333 0.6667 0.7271
O1 O 0.0639 0.3257 0.6556
O2 O 0.3333 0.6667 0.9460
# - E_form (uncorrected): -2.509 eV/atom

---

Entry 8:
# PBE-GGA TbPm3Pt2, relaxed
data_TbPm3Pt2
_chemical_formula_sum 'Tb2 Pm6 Pt4'
_cell_length_a 4.864
_cell_length_b 9.050
_cell_length_c 7.307
_cell_angle_alpha 90.00
_cell_angle_beta 90.00
_cell_angle_gamma 90.00
_space_group_name_H-M_alt 'P m c 21'
_space_group_IT_number 26
loop_
_space_group_symop_operation_xyz
'x,y,z'
'-x,-y,z+1/2'
'-x,y,z'
'x,-y,z+1/2'
loop_
_atom_site_label
_atom_site_type_symbol
_atom_site_fract_x
_atom_site_fract_y
_atom_site_fract_z
Tb1 Tb 0.000 0.085 0.000
Pm1 Pm 0.000 0.334 0.638
Pm2 Pm 0.500 0.162 0.349
Pm3 Pm 0.500 0.415 0.988
Pt1 Pt 0.000 0.337 0.233
Pt2 Pt 0.500 0.157 0.756
# - Polymorph energy (0 for the lowest one): 0.000 eV per atom
# - Energy relative to the elements: -0.854 eV/atom

---

Entry 9:
# PBE-GGA Hg4IrBr, relaxed
data_Hg4IrBr
_chemical_formula_sum 'Hg16 Ir4 Br4'
_cell_length_a 8.254
_cell_length_b 8.254
_cell_length_c 8.254
_cell_angle_alpha 90.00
_cell_angle_beta 90.00
_cell_angle_gamma 90.00
_space_group_name_H-M_alt 'F -4 3 m'
_space_group_IT_number 216
_space_group_name_Hall 'F -4 2 3'
loop_
_atom_site_label
_atom_site_type_symbol
_atom_site_fract_x
_atom_site_fract_y
_atom_site_fract_z
Hg1 Hg 0.125 0.125 0.125
Ir1 Ir 0.250 0.250 0.750
Br1 Br 0.000 0.000 0.500
# - E_form (uncorrected): 0.781 eV/atom

---

Entry 10:
# PBE-GGA CsMgP2Pt4, relaxed
data_CsMgP2Pt4
_chemical_formula_sum 'Cs1 Mg1 P2 Pt4'
_cell_length_a 4.049
_cell_length_b 4.049
_cell_length_c 10.725
_cell_angle_alpha 90.00
_cell_angle_beta 90.00
_cell_angle_gamma 90.00
_space_group_name_H-M_alt 'P 4/m m m'
_space_group_IT_number 123
_space_group_name_Hall '-P 4 2'
loop_
_atom_site_label
_atom_site_type_symbol
_atom_site_fract_x
_atom_site_fract_y
_atom_site_fract_z
Cs1 Cs 0.000 0.000 0.000
Mg1 Mg 0.000 0.000 0.500
P1 P 0.500 0.500 0.220
Pt1 Pt 0.000 0.500 0.325
# - Energy relative to the elements: -0.604 eV/atom

---

Entry 11:
# PBE-GGA Pm3Pr3Tl2Hg, relaxed
data_Pm3Pr3Tl2Hg
_chemical_formula_sum 'Pm3 Pr3 Tl2 Hg1'
_cell_length_a 9.2060
_cell_length_b 9.2060
_cell_length_c 3.8508
_cell_angle_alpha 90.00
_cell_angle_beta 90.00
_cell_angle_gamma 120.00
_space_group_name_H-M_alt 'P -6 2 m'
_space_group_IT_number 189
_space_group_name_Hall 'P -6 -2'
loop_
_atom_site_label
_atom_site_type_symbol
_atom_site_fract_x
_atom_site_fract_y
_atom_site_fract_z
Pm1 Pm 0.0000 0.3924 0.0000
Pr1 Pr 0.0000 0.7239 0.5000
Tl1 Tl 0.3333 0.6667 0.5000
Hg1 Hg 0.0000 0.0000 0.0000
# - Energy relative to the elements: -0.275 eV/atom

---

Entry 12:
# PBE-GGA Zr2TiP, relaxed
data_Zr2TiP
_chemical_formula_sum 'Zr8 Ti4 P4'
_cell_length_a 7.954
_cell_length_b 7.954
_cell_length_c 5.114
_cell_angle_alpha 90.00
_cell_angle_beta 90.00
_cell_angle_gamma 90.00
_space_group_name_H-M_alt 'I -4 2 d'
_space_group_IT_number 122
_space_group_name_Hall 'I -4 2bw'
loop_
_atom_site_label
_atom_site_type_symbol
_atom_site_fract_x
_atom_site_fract_y
_atom_site_fract_z
Zr1 Zr 0.190 0.750 0.125
Ti1 Ti 0.000 0.000 0.500
P1 P 0.000 0.000 0.000
# - Energy relative to the elements: -0.227 eV/atom

---

Entry 13:
# PBE-GGA BaNd4Tl5, relaxed
data_BaNd4Tl5
_chemical_formula_sum 'Ba1 Nd4 Tl5'
_cell_length_a 3.962
_cell_length_b 3.962
_cell_length_c 20.081
_cell_angle_alpha 90.00
_cell_angle_beta 90.00
_cell_angle_gamma 90.00
_space_group_name_H-M_alt 'P 4/m m m'
_space_group_IT_number 123
_space_group_name_Hall '-P 4 2'
loop_
_atom_site_label
_atom_site_type_symbol
_atom_site_fract_x
_atom_site_fract_y
_atom_site_fract_z
Ba1 Ba 0.000 0.000 0.000
Nd1 Nd 0.000 0.000 0.212
Nd2 Nd 0.000 0.000 0.405
Tl1 Tl 0.500 0.500 0.121
Tl2 Tl 0.500 0.500 0.310
Tl3 Tl 0.500 0.500 0.500
# - Energy relative to the elements: -0.384 eV/atom

---

Entry 14:
# PBE-GGA AcMg2Bi, relaxed
data_AcMg2Bi
_chemical_formula_sum 'Ac1 Mg2 Bi1'
_cell_length_a 4.833
_cell_length_b 4.833
_cell_length_c 5.322
_cell_angle_alpha 90.00
_cell_angle_beta 90.00
_cell_angle_gamma 90.00
_space_group_name_H-M_alt 'P 4/m m m'
_space_group_IT_number 123
_space_group_name_Hall '-P 4 2'
loop_
_atom_site_label
_atom_site_type_symbol
_atom_site_fract_x
_atom_site_fract_y
_atom_site_fract_z
Ac1 Ac 0.000 0.000 0.000
Mg1 Mg 0.000 0.500 0.500
Bi1 Bi 0.500 0.500 0.000
# - Energy relative to the elements: -0.343 eV/atom

---

Entry 15:
# PBE-GGA Sc2NiB, relaxed
data_Sc2NiB
_chemical_formula_sum 'Sc6 Ni3 B3'
_cell_length_a 3.3710
_cell_length_b 3.3710
_cell_length_c 24.3562
_cell_angle_alpha 90.00
_cell_angle_beta 90.00
_cell_angle_gamma 120.00
_space_group_name_H-M_alt 'R -3 m'
_space_group_IT_number 166
_space_group_name_Hall '-R 3 2"'
loop_
_atom_site_label
_atom_site_type_symbol
_atom_site_fract_x
_atom_site_fract_y
_atom_site_fract_z
Sc1 Sc 0.0000 0.0000 0.0982
Ni1 Ni 0.0000 0.0000 0.5000
B1 B 0.0000 0.0000 0.0000
# - Energy relative to the elements: 0.757 eV/atom

---

Entry 16:
# PBE-GGA MnCdP2, relaxed
data_MnCdP2
_chemical_formula_sum 'Mn1 Cd1 P2'
_cell_length_a 3.528
_cell_length_b 4.243
_cell_length_c 4.459
_cell_angle_alpha 90.00
_cell_angle_beta 90.00
_cell_angle_gamma 90.00
_space_group_name_H-M_alt 'P m m m'
_space_group_IT_number 47
loop_
_space_group_symop_operation_xyz
'x,y,z'
'-x,-y,-z'
'-x,-y,z'
'x,y,-z'
'x,-y,-z'
'-x,y,z'
'-x,y,-z'
'x,-y,z'
loop_
_atom_site_label
_atom_site_type_symbol
_atom_site_fract_x
_atom_site_fract_y
_atom_site_fract_z
Mn1 Mn 0.000 0.000 0.000
Cd1 Cd 0.000 0.500 0.500
P1 P 0.500 0.000 0.500
P2 P 0.500 0.500 0.000
# - Energy relative to the elements: 0.365 eV/atom

---

Entry 17:
# PBE-GGA Tb7Tm3Mg, relaxed
data_Tb7Tm3Mg
_chemical_formula_sum 'Tb28 Tm12 Mg4'
_cell_length_a 18.233
_cell_length_b 6.804
_cell_length_c 11.045
_cell_angle_alpha 90.00
_cell_angle_beta 90.00
_cell_angle_gamma 90.00
_space_group_name_H-M_alt 'C m c m'
_space_group_IT_number 63
_space_group_name_Hall '-C 2c 2'
loop_
_atom_site_label
_atom_site_type_symbol
_atom_site_fract_x
_atom_site_fract_y
_atom_site_fract_z
Tb1 Tb 0.000 0.228 0.250
Tb2 Tb 0.087 0.285 0.750
Tb3 Tb 0.160 0.258 0.033
Tm1 Tm 0.000 0.000 0.000
Tm2 Tm 0.240 0.008 0.750
Mg1 Mg 0.000 0.500 0.000
# - Polymorph energy (0 for the lowest one): 0.000 eV per atom
# - Energy relative to the elements: 0.116 eV/atom

---

Entry 18:
# PBE-GGA Pm8Tl3Os2, relaxed
data_Pm8Tl3Os2
_chemical_formula_sum 'Pm16 Tl6 Os4'
_cell_length_a 18.083
_cell_length_b 8.177
_cell_length_c 5.160
_cell_angle_alpha 90.00
_cell_angle_beta 90.54
_cell_angle_gamma 90.00
_space_group_name_H-M_alt 'C 1 2/m 1'
_space_group_IT_number 12
loop_
_space_group_symop_operation_xyz
'x,y,z'
'-x,-y,-z'
'-x,y,-z'
'x,-y,z'
'x+1/2,y+1/2,z'
'-x+1/2,-y+1/2,-z'
'-x+1/2,y+1/2,-z'
'x+1/2,-y+1/2,z'
loop_
_atom_site_label
_atom_site_type_symbol
_atom_site_fract_x
_atom_site_fract_y
_atom_site_fract_z
Pm1 Pm 0.077 0.000 0.267
Pm2 Pm 0.162 0.500 0.229
Pm3 Pm 0.175 0.217 0.749
Tl1 Tl 0.000 0.301 0.000
Tl2 Tl 0.000 0.500 0.500
Os1 Os 0.230 0.000 0.246
# - Energy relative to the elements: -0.069 eV/atom

---

Entry 19:
# PBE-GGA Tl2AgSb, relaxed
data_Tl2AgSb
_chemical_formula_sum 'Tl4 Ag2 Sb2'
_cell_length_a 6.463
_cell_length_b 6.510
_cell_length_c 5.997
_cell_angle_alpha 90.00
_cell_angle_beta 121.34
_cell_angle_gamma 90.00
_space_group_name_H-M_alt 'C 1 2/m 1'
_space_group_IT_number 12
loop_
_space_group_symop_operation_xyz
'x,y,z'
'-x,-y,-z'
'-x,y,-z'
'x,-y,z'
'x+1/2,y+1/2,z'
'-x+1/2,-y+1/2,-z'
'-x+1/2,y+1/2,-z'
'x+1/2,-y+1/2,z'
loop_
_atom_site_label
_atom_site_type_symbol
_atom_site_fract_x
_atom_site_fract_y
_atom_site_fract_z
Tl1 Tl 0.000 0.249 0.000
Ag1 Ag 0.000 0.000 0.500
Sb1 Sb 0.000 0.500 0.500
# - E_form (uncorrected): 0.128 eV/atom
# - Polymorph energy (0 for the lowest one): 0.123 eV per atom

---

Entry 20:
# PBE-GGA RbSiPt2, relaxed
data_RbSiPt2
_chemical_formula_sum 'Rb3 Si3 Pt6'
_cell_length_a 4.2996
_cell_length_b 4.2996
_cell_length_c 21.4584
_cell_angle_alpha 90.00
_cell_angle_beta 90.00
_cell_angle_gamma 120.00
_space_group_name_H-M_alt 'R -3 m'
_space_group_IT_number 166
_space_group_name_Hall '-R 3 2"'
loop_
_atom_site_label
_atom_site_type_symbol
_atom_site_fract_x
_atom_site_fract_y
_atom_site_fract_z
Rb1 Rb 0.0000 0.0000 0.0000
Si1 Si 0.0000 0.0000 0.5000
Pt1 Pt 0.0000 0.0000 0.1464
# - E_form (uncorrected): -0.253 eV/atom

---

Entry 21:
# PBE-GGA LiLaPd4Pb2, relaxed
data_LiLaPd4Pb2
_chemical_formula_sum 'Li3 La3 Pd12 Pb6'
_cell_length_a 4.7215
_cell_length_b 4.7215
_cell_length_c 24.9864
_cell_angle_alpha 90.00
_cell_angle_beta 90.00
_cell_angle_gamma 120.00
_space_group_name_H-M_alt 'R -3 m'
_space_group_IT_number 166
_space_group_name_Hall '-R 3 2"'
loop_
_atom_site_label
_atom_site_type_symbol
_atom_site_fract_x
_atom_site_fract_y
_atom_site_fract_z
Li1 Li 0.0000 0.0000 0.0000
La1 La 0.0000 0.0000 0.5000
Pd1 Pd 0.0000 0.0000 0.1044
Pd2 Pd 0.0000 0.0000 0.3722
Pb1 Pb 0.0000 0.0000 0.2586
# - Energy relative to the elements: -0.521 eV/atom

---

Entry 22:
# PBE-GGA SrTb2Sm3Te6, relaxed
data_SrTb2Sm3Te6
_chemical_formula_sum 'Sr2 Tb4 Sm6 Te12'
_cell_length_a 19.458
_cell_length_b 4.454
_cell_length_c 8.962
_cell_angle_alpha 90.00
_cell_angle_beta 103.79
_cell_angle_gamma 90.00
_space_group_name_H-M_alt 'C 1 2/m 1'
_space_group_IT_number 12
loop_
_space_group_symop_operation_xyz
'x,y,z'
'-x,-y,-z'
'-x,y,-z'
'x,-y,z'
'x+1/2,y+1/2,z'
'-x+1/2,-y+1/2,-z'
'-x+1/2,y+1/2,-z'
'x+1/2,-y+1/2,z'
loop_
_atom_site_label
_atom_site_type_symbol
_atom_site_fract_x
_atom_site_fract_y
_atom_site_fract_z
Sr1 Sr 0.000 0.000 0.000
Tb1 Tb 0.170 0.500 0.342
Sm1 Sm 0.000 0.000 0.500
Sm2 Sm 0.162 0.500 0.818
Te1 Te 0.005 0.500 0.258
Te2 Te 0.166 0.000 0.577
Te3 Te 0.171 0.000 0.086
# - E_form (uncorrected): -1.401 eV/atom

---

Entry 23:
# PBE-GGA Cu3GePd, relaxed
data_Cu3GePd
_chemical_formula_sum 'Cu3 Ge1 Pd1'
_cell_length_a 4.647
_cell_length_b 4.647
_cell_length_c 4.647
_cell_angle_alpha 90.00
_cell_angle_beta 90.00
_cell_angle_gamma 90.00
_space_group_name_H-M_alt 'P m -3 m'
_space_group_IT_number 221
_space_group_name_Hall '-P 4 2 3'
loop_
_atom_site_label
_atom_site_type_symbol
_atom_site_fract_x
_atom_site_fract_y
_atom_site_fract_z
Cu1 Cu 0.000 0.000 0.500
Ge1 Ge 0.500 0.500 0.500
Pd1 Pd 0.000 0.000 0.000
# - Polymorph energy (0 for the lowest one): 0.907 eV per atom
# - Energy relative to the elements: 0.891 eV/atom

---

Entry 24:
# PBE-GGA Ba2TaRu, relaxed
data_Ba2TaRu
_chemical_formula_sum 'Ba2 Ta1 Ru1'
_cell_length_a 4.298
_cell_length_b 4.298
_cell_length_c 5.640
_cell_angle_alpha 90.00
_cell_angle_beta 90.00
_cell_angle_gamma 90.00
_space_group_name_H-M_alt 'P 4/m m m'
_space_group_IT_number 123
_space_group_name_Hall '-P 4 2'
loop_
_atom_site_label
_atom_site_type_symbol
_atom_site_fract_x
_atom_site_fract_y
_atom_site_fract_z
Ba1 Ba 0.000 0.500 0.000
Ta1 Ta 0.000 0.000 0.500
Ru1 Ru 0.500 0.500 0.500
# - Polymorph energy (0 for the lowest one): 0.924 eV per atom
# - Energy relative to the elements: 1.186 eV/atom